Here is a relaxed TiMnNi2Pd crystal from Alexandria via LeMat-Bulk. Energies are from PBE.

a = 4.6194 Å, b = 4.6194 Å, c = 4.5242 Å
α = 90.00°, β = 90.00°, γ = 90.00°
Space group P4/mmm (No. 123)
Asymmetric unit:
Ti 0.0000 0.0000 0.0000 x1
Mn 0.5000 0.5000 0.0000 x1
Ni 0.0000 0.5000 0.5000 x2
Pd 0.0000 0.0000 0.5000 x1

Total moment ... 2.80 μB/cell
Energy of formation ... 1.024 eV/atom



Here is a relaxed Rb2LiRhF6 crystal from Alexandria via LeMat-Bulk. Energies are from PBE.

a = 8.3797 Å, b = 8.3797 Å, c = 8.3797 Å
α = 90.00°, β = 90.00°, γ = 90.00°
Space group Fm-3m (No. 225)
Asymmetric unit:
Rb 0.2500 0.2500 0.2500 x8
Li 0.0000 0.0000 0.0000 x4
Rh 0.0000 0.0000 0.5000 x4
F 0.0000 0.0000 0.2577 x24

Total moment ... 0.57 μB/cell
E_form (uncorrected) ... -2.3924 eV/atom



Here is a relaxed ThP2RuRh crystal from Alexandria via LeMat-Bulk. Energies are from PBE.

a = 4.0493 Å, b = 4.0493 Å, c = 10.0329 Å
α = 90.00°, β = 90.00°, γ = 90.00°
Space group I-4m2 (No. 119)
Asymmetric unit:
Th 0.0000 0.0000 0.0000 x2
P 0.0000 0.0000 0.3822 x4
Ru 0.0000 0.5000 0.7500 x2
Rh 0.0000 0.5000 0.2500 x2

Total moment ... 0.00 μB/cell
Energy of formation ... -1.019 eV/atom



Here is a relaxed PbBrCl2 crystal from Alexandria via LeMat-Bulk. Energies are from PBE.

a = 4.7287 Å, b = 4.7287 Å, c = 18.4856 Å
α = 90.00°, β = 90.00°, γ = 120.00°
Space group R3m (No. 160, hexagonal axes)
Asymmetric unit:
Pb 0.0000 0.0000 0.0000 x3
Br 0.0000 0.0000 0.7463 x3
Cl 0.0000 0.0000 0.2747 x3
Cl 0.0000 0.0000 0.5094 x3

Total moment ... 2.25 μB/cell
E_form (uncorrected) ... -0.4671 eV/atom
E above lowest polymorph ... 0.86 eV/f.u.



Here is a relaxed LaMg3N crystal from Alexandria via LeMat-Bulk. Energies are from PBE.

a = 6.5365 Å, b = 6.5365 Å, c = 6.5365 Å
α = 90.00°, β = 90.00°, γ = 90.00°
Space group Pm-3m (No. 221)
Asymmetric unit:
La 0.0000 0.0000 0.0000 x1
Mg 0.0000 0.0000 0.5000 x3
N 0.5000 0.5000 0.5000 x1

Total moment ... 0.05 μB/cell
E_form (uncorrected) ... 1.9556 eV/atom
E above lowest polymorph ... 9.35 eV/f.u.



Here is a relaxed Bi2TePb5 crystal from Alexandria via LeMat-Bulk. Energies are from PBE.

a = 6.0477 Å, b = 10.4789 Å, c = 17.7410 Å
α = 90.00°, β = 90.00°, γ = 90.00°
Space group Cmcm (No. 63)
Asymmetric unit:
Bi 0.0000 0.2356 0.0874 x8
Te 0.0000 0.4561 0.2500 x4
Pb 0.0000 0.0709 0.2500 x4
Pb 0.0000 0.1038 0.5766 x8
Pb 0.0000 0.4252 0.5864 x8

Total moment ... 0.00 μB/cell
E_form (uncorrected) ... 0.0015 eV/atom